A) Material: ZrAsP2O
Method: DFT, GGA-PBE
State: optimized geometry

Properties
Space group: No. 123
DOS at the Fermi energy: 0.6570 states/eV/atom

Geometry as POSCAR:
```
ZrAsP2O
1.0
4.731 0.000 0.000
0.000 4.731 0.000
0.000 0.000 3.759
Zr As P O
1 1 2 1
Direct
0.000 0.000 0.000 Zr
0.500 0.500 0.500 As
0.000 0.500 0.500 P
0.500 0.000 0.500 P
0.500 0.500 0.000 O
```

B) Material: ZrAsP2O
Method: DFT, GGA-PBE
State: optimized geometry

Properties
Space group: No. 123
DOS at the Fermi energy: 0.6041 states/eV/atom

Geometry as POSCAR:
```
ZrAsP2O
1.0
5.196 0.000 0.000
0.000 5.196 0.000
0.000 0.000 3.943
Zr As P O
1 1 2 1
Direct
0.000 0.000 0.000 Zr
0.500 0.500 0.500 As
0.000 0.500 0.000 P
0.500 0.000 0.000 P
0.000 0.000 0.500 O
```

Verdict on stability: B) comes out on top.

A) Material: ZrAsPO2
Method: DFT, GGA-PBE
State: optimized geometry

Properties
Space group: No. 123
DOS at the Fermi energy: 0.4128 states/eV/atom

Geometry as POSCAR:
```
ZrAsPO2
1.0
3.875 0.000 0.000
0.000 3.875 0.000
0.000 0.000 4.850
Zr As P O
1 1 1 2
Direct
0.000 0.000 0.000 Zr
0.500 0.500 0.500 As
0.500 0.500 0.000 P
0.000 0.500 0.500 O
0.500 0.000 0.500 O
```

B) Material: ZrAsPO2
Method: DFT, GGA-PBE
State: optimized geometry

Properties
Space group: No. 123
DOS at the Fermi energy: 0.7248 states/eV/atom

Geometry as POSCAR:
```
ZrAsPO2
1.0
4.005 0.000 0.000
0.000 4.005 0.000
0.000 0.000 5.767
Zr As P O
1 1 1 2
Direct
0.000 0.000 0.000 Zr
0.500 0.500 0.500 As
0.000 0.000 0.500 P
0.000 0.500 0.000 O
0.500 0.000 0.000 O
```

Verdict on stability: B) comes out on top.

A) Material: As2PbO
Method: DFT, GGA-PBE
State: optimized geometry

Properties
Space group: No. 225
DOS at the Fermi energy: 0.5482 states/eV/atom

Geometry as POSCAR:
```
As2PbO
1.0
0.000 3.351 3.351
3.351 0.000 3.351
3.351 3.351 0.000
As Pb O
2 1 1
Direct
0.250 0.250 0.250 As
0.750 0.750 0.750 As
0.000 0.000 0.000 Pb
0.500 0.500 0.500 O
```

B) Material: As2PbO
Method: DFT, GGA-PBE
State: optimized geometry

Properties
Space group: No. 122
DOS at the Fermi energy: 0.1373 states/eV/atom

Geometry as POSCAR:
```
As2PbO
1.0
-2.641 2.641 6.596
2.641 -2.641 6.596
2.641 2.641 -6.596
As Pb O
4 2 2
Direct
0.375 0.187 0.312 As
0.813 0.125 0.188 As
0.875 0.063 0.688 As
0.937 0.625 0.812 As
0.250 0.750 0.500 Pb
0.500 0.500 0.000 Pb
0.000 0.000 0.000 O
0.750 0.250 0.500 O
```

Verdict on stability: B) comes out on top.

A) Material: AsPbO2
Method: DFT, GGA-PBE
State: optimized geometry

Properties
Space group: No. 166
DOS at the Fermi energy: 0.3507 states/eV/atom

Geometry as POSCAR:
```
AsPbO2
1.0
1.715 0.990 6.813
-1.715 0.990 6.813
0.000 -1.981 6.813
As Pb O
1 1 2
Direct
0.000 0.000 0.000 As
0.500 0.500 0.500 Pb
0.094 0.094 0.094 O
0.906 0.906 0.906 O
```

B) Material: AsPbO2
Method: DFT, GGA-PBE
State: optimized geometry

Properties
Space group: No. 122
DOS at the Fermi energy: 0.3953 states/eV/atom

Geometry as POSCAR:
```
AsPbO2
1.0
-2.735 2.735 5.097
2.735 -2.735 5.097
2.735 2.735 -5.097
As Pb O
2 2 4
Direct
0.000 0.000 0.000 As
0.750 0.250 0.500 As
0.250 0.750 0.500 Pb
0.500 0.500 0.000 Pb
0.041 0.625 0.916 O
0.375 0.291 0.416 O
0.709 0.125 0.084 O
0.875 0.959 0.584 O
```

Verdict on stability: A) comes out on top.

A) Material: AsPbO2
Method: DFT, GGA-PBE
State: optimized geometry

Properties
Space group: No. 225
DOS at the Fermi energy: 0.5193 states/eV/atom

Geometry as POSCAR:
```
AsPbO2
1.0
0.000 3.075 3.075
3.075 0.000 3.075
3.075 3.075 0.000
As Pb O
1 1 2
Direct
0.000 0.000 0.000 As
0.500 0.500 0.500 Pb
0.250 0.250 0.250 O
0.750 0.750 0.750 O
```

B) Material: AsPbO2
Method: DFT, GGA-PBE
State: optimized geometry

Properties
Space group: No. 166
DOS at the Fermi energy: 0.1233 states/eV/atom

Geometry as POSCAR:
```
AsPbO2
1.0
1.633 0.943 7.084
-1.633 0.943 7.084
0.000 -1.886 7.084
As Pb O
1 1 2
Direct
0.000 0.000 0.000 As
0.500 0.500 0.500 Pb
0.386 0.386 0.386 O
0.614 0.614 0.614 O
```

Verdict on stability: B) comes out on top.

A) Material: AsPb2O4
Method: DFT, GGA-PBE
State: optimized geometry

Properties
Space group: No. 121
DOS at the Fermi energy: 0.1081 states/eV/atom

Geometry as POSCAR:
```
AsPb2O4
1.0
-3.282 3.282 3.243
3.282 -3.282 3.243
3.282 3.282 -3.243
As Pb O
1 2 4
Direct
0.000 0.000 0.000 As
0.250 0.750 0.500 Pb
0.750 0.250 0.500 Pb
0.001 0.695 0.000 O
0.305 0.305 0.307 O
0.695 0.001 0.000 O
0.999 0.999 0.693 O
```

B) Material: AsPb2O4
Method: DFT, GGA-PBE
State: optimized geometry

Properties
Space group: No. 11
DOS at the Fermi energy: 0.1716 states/eV/atom

Geometry as POSCAR:
```
AsPb2O4
1.0
5.216 0.000 0.000
0.000 6.416 0.000
-1.693 0.000 8.914
As Pb O
2 4 8
Direct
0.095 0.250 0.245 As
0.905 0.750 0.755 As
0.241 0.750 0.498 Pb
0.480 0.250 0.984 Pb
0.520 0.750 0.016 Pb
0.759 0.250 0.502 Pb
0.002 0.044 0.350 O
0.002 0.456 0.350 O
0.056 0.750 0.939 O
0.429 0.250 0.248 O
0.571 0.750 0.752 O
0.944 0.250 0.061 O
0.998 0.544 0.650 O
0.998 0.956 0.650 O
```

Verdict on stability: A) comes out on top.

A) Material: As2Pb3O8
Method: DFT, GGA-PBE
State: optimized geometry

Properties
Space group: No. 14
DOS at the Fermi energy: 0.0000 states/eV/atom

Geometry as POSCAR:
```
As2Pb3O8
1.0
7.560 0.000 0.000
0.000 6.437 0.000
-3.899 0.000 8.719
As Pb O
4 6 16
Direct
0.200 0.020 0.400 As
0.200 0.480 0.900 As
0.800 0.520 0.100 As
0.800 0.980 0.600 As
0.000 0.000 0.000 Pb
0.000 0.500 0.500 Pb
0.374 0.598 0.284 Pb
0.374 0.902 0.784 Pb
0.626 0.098 0.216 Pb
0.626 0.402 0.716 Pb
0.038 0.537 0.228 O
0.038 0.963 0.728 O
0.247 0.697 0.020 O
0.247 0.803 0.520 O
0.276 0.237 0.514 O
0.276 0.263 0.014 O
0.322 0.531 0.782 O
0.322 0.969 0.282 O
0.678 0.031 0.718 O
0.678 0.469 0.218 O
0.724 0.737 0.986 O
0.724 0.763 0.486 O
0.753 0.197 0.480 O
0.753 0.303 0.980 O
0.962 0.037 0.272 O
0.962 0.463 0.772 O
```

B) Material: As2Pb3O8
Method: DFT, GGA-PBE
State: optimized geometry

Properties
Space group: No. 166
DOS at the Fermi energy: 0.0000 states/eV/atom

Geometry as POSCAR:
```
As2Pb3O8
1.0
2.877 1.661 6.882
-2.877 1.661 6.882
0.000 -3.322 6.882
As Pb O
2 3 8
Direct
0.096 0.096 0.096 As
0.904 0.904 0.904 As
0.292 0.292 0.292 Pb
0.500 0.500 0.500 Pb
0.708 0.708 0.708 Pb
0.179 0.179 0.179 O
0.232 0.232 0.741 O
0.232 0.741 0.232 O
0.259 0.768 0.768 O
0.741 0.232 0.232 O
0.768 0.259 0.768 O
0.768 0.768 0.259 O
0.821 0.821 0.821 O
```

Verdict on stability: A) comes out on top.

A) Material: As2PdO6
Method: DFT, GGA-PBE
State: optimized geometry

Properties
Space group: No. 162
DOS at the Fermi energy: 0.0149 states/eV/atom

Geometry as POSCAR:
```
As2PdO6
1.0
4.927 0.000 0.000
-2.463 4.267 0.000
0.000 0.000 4.738
As Pd O
2 1 6
Direct
0.333 0.667 0.000 As
0.667 0.333 0.000 As
0.000 0.000 0.500 Pd
0.000 0.373 0.781 O
0.000 0.627 0.219 O
0.373 0.000 0.781 O
0.373 0.373 0.219 O
0.627 0.000 0.219 O
0.627 0.627 0.781 O
```

B) Material: As2PdO6
Method: DFT, GGA-PBE
State: optimized geometry

Properties
Space group: No. 146

Geometry as POSCAR:
```
As2PdO6
1.0
2.724 1.572 4.701
-2.724 1.572 4.701
0.000 -3.145 4.701
As Pd O
2 1 6
Direct
0.000 0.000 0.000 As
0.191 0.191 0.191 As
0.375 0.375 0.375 Pd
0.122 0.829 0.348 O
0.332 0.508 0.989 O
0.348 0.122 0.829 O
0.508 0.989 0.332 O
0.829 0.348 0.122 O
0.989 0.332 0.508 O
```

Verdict on stability: A) comes out on top.